# Mg2InRh | the Alexandria database | GGA-PBE | optimized geometry
data_Mg2InRh
_chemical_formula_sum 'Mg2 In1 Rh1'
_cell_length_a 3.2901
_cell_length_b 3.6302
_cell_length_c 6.2112
_cell_angle_alpha 90.00
_cell_angle_beta 90.15
_cell_angle_gamma 90.00
_symmetry_space_group_name_H-M 'P 1 m 1'
_symmetry_Int_Tables_number 6
_symmetry_space_group_name_Hall 'P -2y'
loop_
_atom_site_label
_atom_site_type_symbol
_atom_site_fract_x
_atom_site_fract_y
_atom_site_fract_z
_atom_site_occupancy
Mg1 Mg 0.0000 0.0000 0.0000 1
Mg2 Mg 0.4993 0.5000 0.2746 1
In1 In 0.4989 0.5000 0.7228 1
Rh1 Rh 0.9992 0.0000 0.4831 1
# * formation enthalpy at 0 K: -0.29 eV per atom
# * energy: -3.61 eV per atom
# * density of states at the Fermi level: 1.50 states/eV/f.u.
# * total magnetization: 0.0 μB per cell